# 1
VASP calculation (GGA-PBE) on a relaxed TlZn2P crystal.

DOS at the Fermi energy   2.1 states/eV per cell
DFT formation energy   0.27 eV per atom
Space-group type   No. 123

Lattice parameters (Å, degrees): 3.2990 3.2990 7.3323 90.00 90.00 90.00
With the nearest neighbours (Å) after each atom.
Sites, in units of the cell vectors:
Tl  0.5000  0.5000  0.5000  4 Tl 3.30, 8 Zn 3.31, 2 P 3.67
Zn  0.0000  0.0000  0.1791  1 Zn 2.63, 4 P 2.68
Zn  0.0000  0.0000  0.8209  1 Zn 2.63, 4 P 2.68
P  0.5000  0.5000  0.0000  8 Zn 2.68


# 2
VASP calculation (GGA-PBE) on a relaxed TlZn2P crystal.

DOS at the Fermi energy   1.6 states/eV per cell
DFT formation energy   0.36 eV per atom
Space-group type   No. 119

Lattice parameters (Å, degrees): 5.7668 5.7668 5.7668 140.03 140.03 57.80
With the nearest neighbours (Å) after each atom.
Sites, in units of the cell vectors:
P  0.5000  0.5000  0.0000  4 Zn 2.79
Zn  0.2500  0.7500  0.5000  4 Tl 2.79
Zn  0.0000  0.0000  0.0000  4 P 2.79
Tl  0.7500  0.2500  0.5000  4 Zn 2.79